(1)
Compound: Cu3GePb
Source: Alexandria via LeMat-Bulk
Functional: PBE
Structure: relaxed

Values from the calculation:
- Energy relative to the elements: 0.372 eV/atom

Cell lengths 4.6014, 4.6014, 4.6014 Å; angles 90.00, 90.00, 90.00 degrees
Element x y z (fractional)
Pb1 0.5000 0.5000 0.5000
Ge1 0.0000 0.0000 0.0000
Cu1 0.0000 0.5000 0.0000
Cu2 0.0000 0.0000 0.5000
Cu3 0.5000 0.0000 0.0000

(2)
Compound: AgPdI3
Source: Alexandria via LeMat-Bulk
Functional: PBE
Structure: relaxed

Values from the calculation:
- Formation energy (no corrections): 13.2 kJ/mol of atoms

Cell lengths 5.5213, 5.5213, 5.5213 Å; angles 90.00, 90.00, 90.00 degrees
Element x y z (fractional)
I1 0.0000 0.5000 0.0000
I2 0.0000 0.0000 0.5000
I3 0.5000 0.0000 0.0000
Pd1 0.0000 0.0000 0.0000
Ag1 0.5000 0.5000 0.5000

(3)
Compound: BaNaCd2Ag4
Source: Alexandria via LeMat-Bulk
Functional: PBE
Structure: relaxed

Values from the calculation:
- Energy relative to the elements: -0.123 eV/atom

Cell lengths 4.8729, 4.8729, 10.5081 Å; angles 76.59, 76.59, 60.00 degrees
Element x y z (fractional)
Ba1 0.0000 0.0000 0.0000
Na1 0.5000 0.5000 0.5000
Cd1 0.7577 0.7577 0.7270
Cd2 0.2423 0.2423 0.2730
Ag1 0.4055 0.4055 0.7834
Ag2 0.8884 0.8884 0.3347
Ag3 0.1116 0.1116 0.6653
Ag4 0.5945 0.5945 0.2166

(4)
Compound: Nd15Tm4Mg
Source: Alexandria via LeMat-Bulk
Functional: PBE
Structure: relaxed

Values from the calculation:
- Energy relative to the elements: 0.007 eV/atom

Cell lengths 5.1135, 5.1135, 25.6348 Å; angles 90.00, 90.00, 90.00 degrees
Element x y z (fractional)
Nd1 0.5000 0.5000 0.0000
Nd2 0.5000 0.5000 0.1978
Nd3 0.5000 0.5000 0.3992
Nd4 0.5000 0.5000 0.6008
Nd5 0.5000 0.5000 0.8022
Nd6 0.5000 0.0000 0.0987
Nd7 0.5000 0.0000 0.2990
Nd8 0.5000 0.0000 0.5000
Nd9 0.5000 0.0000 0.7010
Nd10 0.5000 0.0000 0.9013
Nd11 0.0000 0.5000 0.0987
Nd12 0.0000 0.5000 0.2990
Nd13 0.0000 0.5000 0.5000
Nd14 0.0000 0.5000 0.7010
Nd15 0.0000 0.5000 0.9013
Tm1 0.0000 0.0000 0.1983
Tm2 0.0000 0.0000 0.3995
Tm3 0.0000 0.0000 0.6005
Tm4 0.0000 0.0000 0.8017
Mg1 0.0000 0.0000 0.0000

(5)
Compound: Sr2LaSc
Source: Alexandria via LeMat-Bulk
Functional: PBE
Structure: relaxed

Values from the calculation:
- Energy relative to the elements: 0.284 eV/atom

Cell lengths 6.0726, 6.0726, 6.0726 Å; angles 60.00, 60.00, 60.00 degrees
Element x y z (fractional)
La1 0.5000 0.5000 0.5000
Sc1 0.7500 0.7500 0.7500
Sr1 0.0000 0.0000 0.0000
Sr2 0.2500 0.2500 0.2500

(6)
Compound: Pm3Y2Tm
Source: Alexandria via LeMat-Bulk
Functional: PBE
Structure: relaxed

Values from the calculation:
- Energy relative to the elements: 0.006 eV/atom

Cell lengths 7.2421, 6.2874, 9.6532 Å; angles 102.51, 112.03, 90.00 degrees
Element x y z (fractional)
Pm1 0.8734 0.2500 0.0000
Pm2 0.1266 0.7500 0.0000
Pm3 0.0413 0.0241 0.3333
Pm4 0.7080 0.4759 0.6667
Pm5 0.2920 0.5241 0.3333
Pm6 0.9587 0.9759 0.6667
Y1 0.7897 0.5296 0.3317
Y2 0.5420 0.0296 0.3317
Y3 0.4580 0.9704 0.6683
Y4 0.2103 0.4704 0.6683
Tm1 0.6228 0.7500 0.0000
Tm2 0.3772 0.2500 0.0000

Number 1: total magnetization 0.000 μB per atom. Number 2: total magnetization 0.000 μB per atom. Number 3: total magnetization 0.000 μB per atom. Number 4: total magnetization 0.000 μB per atom. Number 5: total magnetization 0.005 μB per atom. Number 6: total magnetization 0.000 μB per atom.